No. 1
TeIrS2N: relaxed, PBE.

Output
Its total magnetization is 0.000 μB per atom. Its density of states at the Fermi level is 2.9 states/eV/cell. The formation energy (no corrections) comes out at 0.48 eV per atom.

abc: 4.9244 4.9244 3.6891
angles: 90.00 90.00 90.00
Positions (direct):
Te1 0.0000 0.0000 0.0000
Ir1 0.5000 0.5000 0.5000
S1 0.0000 0.5000 0.5000
S2 0.5000 0.0000 0.5000
N1 0.5000 0.5000 0.0000

No. 2
RbLuIn2: relaxed, PBE.

Output
Its formation energy is -0.173 eV/atom. Its total magnetization is 0.000 μB per atom. Its density of states at the Fermi level is 2.9 states/eV/cell.

abc: 3.8189 3.8189 8.8911
angles: 90.00 90.00 90.00
Positions (direct):
Rb1 0.0000 0.0000 0.0000
Lu1 0.0000 0.0000 0.5000
In1 0.5000 0.5000 0.3087
In2 0.5000 0.5000 0.6913

No. 3
Cd4Ga4Sn: relaxed, PBE.

Output
Its formation energy is 0.101 eV/atom. Its total magnetization is 0.000 μB per atom. Its density of states at the Fermi level is 8.9 states/eV/cell.

abc: 6.4832 6.4832 9.8103
angles: 90.00 90.00 90.00
Positions (direct):
Cd1 0.0051 0.7500 0.0180
Cd2 0.2500 0.5051 0.4820
Cd3 0.2500 0.9949 0.4820
Cd4 0.4949 0.7500 0.0180
Cd5 0.5051 0.2500 0.9820
Cd6 0.7500 0.0051 0.5180
Cd7 0.7500 0.4949 0.5180
Cd8 0.9949 0.2500 0.9820
Ga1 0.0410 0.2500 0.6937
Ga2 0.2500 0.0410 0.1937
Ga3 0.2500 0.4590 0.1937
Ga4 0.4590 0.2500 0.6937
Ga5 0.5410 0.7500 0.3063
Ga6 0.7500 0.5410 0.8063
Ga7 0.7500 0.9590 0.8063
Ga8 0.9590 0.7500 0.3063
Sn1 0.2500 0.7500 0.7500
Sn2 0.7500 0.2500 0.2500

No. 4
NdSmDy2Y5: relaxed, PBE.

Output
Its formation energy is 0.266 eV/atom. Its total magnetization is 0.000 μB per atom. Its density of states at the Fermi level is 23.0 states/eV/cell.

abc: 9.8087 9.8087 9.8087
angles: 126.20 126.20 79.56
Positions (direct):
Nd1 0.2500 0.2500 0.0000
Nd2 0.7500 0.7500 0.0000
Sm1 0.2500 0.7500 0.5000
Sm2 0.7500 0.2500 0.5000
Dy1 0.1145 0.6145 0.7289
Dy2 0.3855 0.1145 0.5000
Dy3 0.6145 0.8855 0.5000
Dy4 0.8855 0.3855 0.2711
Y1 0.0000 0.0000 0.0000
Y2 0.0709 0.1627 0.5000
Y3 0.1627 0.6627 0.0918
Y4 0.3373 0.4291 0.5000
Y5 0.4291 0.9291 0.0918
Y6 0.5000 0.5000 0.0000
Y7 0.5709 0.0709 0.9082
Y8 0.6627 0.5709 0.5000
Y9 0.8373 0.3373 0.9082
Y10 0.9291 0.8373 0.5000

Please write out number 4 again, unchanged.
NdSmDy2Y5: relaxed, PBE.

Output
Its formation energy is 0.266 eV/atom. Its total magnetization is 0.000 μB per atom. Its density of states at the Fermi level is 23.0 states/eV/cell.

abc: 9.8087 9.8087 9.8087
angles: 126.20 126.20 79.56
Positions (direct):
Nd1 0.2500 0.2500 0.0000
Nd2 0.7500 0.7500 0.0000
Sm1 0.2500 0.7500 0.5000
Sm2 0.7500 0.2500 0.5000
Dy1 0.1145 0.6145 0.7289
Dy2 0.3855 0.1145 0.5000
Dy3 0.6145 0.8855 0.5000
Dy4 0.8855 0.3855 0.2711
Y1 0.0000 0.0000 0.0000
Y2 0.0709 0.1627 0.5000
Y3 0.1627 0.6627 0.0918
Y4 0.3373 0.4291 0.5000
Y5 0.4291 0.9291 0.0918
Y6 0.5000 0.5000 0.0000
Y7 0.5709 0.0709 0.9082
Y8 0.6627 0.5709 0.5000
Y9 0.8373 0.3373 0.9082
Y10 0.9291 0.8373 0.5000